No. 1
CoTcSb, relaxed, DFT PBE; space group = I4mm, No. 107
1.0
4.9158 0.2512 -0.2502
2.5389 4.2170 0.2502
-3.5981 -2.4498 2.3116
Co Sb Tc
1 1 1
Direct
0.0000 0.0000 0.0000
0.3358 0.3358 0.0000
0.6642 0.6642 0.0000

=====

No. 2
CoTc2Sb, relaxed, DFT PBE; space group = I-4m2, No. 119
1.0
-3.2926 -1.9709 2.7236
-1.3264 -3.9837 -2.1248
4.2987 1.5740 1.0899
Co Sb Tc
1 1 2
Direct
0.5000 0.5000 0.0000
0.7500 0.2500 0.5000
0.0000 0.0000 0.0000
0.2500 0.7500 0.5000

=====

No. 3
CoTc2Sb, relaxed, DFT PBE; space group = I-42d, No. 122
1.0
5.5766 0.0000 0.0000
0.0000 5.5766 0.0000
2.7883 2.7883 5.5386
Sb Co Tc
2 2 4
Direct
0.0000 0.0000 0.0000
0.7500 0.2500 0.5000
0.5000 0.5000 0.0000
0.2500 0.7500 0.5000
0.5639 0.1250 0.2500
0.1861 0.6250 0.2500
0.3750 0.4361 0.7500
0.8750 0.8139 0.7500

=====

No. 4
Co2TcSb, relaxed, DFT PBE; space group = R-3m, No. 166
1.0
8.3234 -0.0107 -0.0063
7.8249 2.8370 -0.0063
7.8249 1.3696 2.4846
Co Sb Tc
2 1 1
Direct
0.0026 0.0026 0.0026
0.4974 0.4974 0.4974
0.2500 0.2500 0.2500
0.7500 0.7500 0.7500

=====

Quick rundown of total magnetic moment, same order as above: 2.7 0.4 0.0 2.1 Bohr magnetons per cell
Quick rundown of formation energy without anion corrections, same order as above: 0.307 0.186 1.038 0.485 eV per atom
Quick rundown of DFT total energy, same order as above: -20.67 -31.22 -55.62 -26.76 eV for the cell shown